w.
VASP calculation (GGA-PBE) on a relaxed structure of KLiCr.

The structure in POSCAR format:
```
KLiCr
1.0
7.5369 0.0000 0.0000
0.0000 7.5369 0.0000
0.0000 0.0000 7.5369
K Li Cr
4 4 4
Cartesian
0.0000 0.0000 0.0000
0.0000 3.7685 3.7685
3.7685 0.0000 3.7685
3.7685 3.7685 0.0000
1.8842 1.8842 1.8842
1.8842 5.6527 5.6527
5.6527 1.8842 5.6527
5.6527 5.6527 1.8842
0.0000 0.0000 3.7685
0.0000 3.7685 0.0000
3.7685 0.0000 0.0000
3.7685 3.7685 3.7685
```

x.
VASP calculation (GGA-PBE) on a relaxed structure of KLiCr.

The structure in POSCAR format:
```
KLiCr
1.0
3.5020 0.0000 0.0000
-1.7510 3.0328 0.0000
0.0000 0.0000 8.3865
K Li Cr
1 1 1
Cartesian
0.0000 0.0000 0.0000
0.0000 2.0219 3.2531
1.7510 1.0109 5.3711
```

Unit: eV/atom. Relative energies: w 0.117; x 0.000.

w.
VASP calculation (GGA-PBE) on a relaxed structure of KLi2Cr.

The structure in POSCAR format:
```
KLi2Cr
1.0
3.2096 0.0000 0.0000
0.0000 4.7545 0.0000
-1.5961 0.0000 7.5310
K Li Cr
1 2 1
Cartesian
0.0000 0.0000 0.0000
1.5976 2.3772 2.5471
1.5566 0.0000 4.0810
-0.0306 2.3772 4.9752
```

x.
VASP calculation (GGA-PBE) on a relaxed structure of KLi2Cr.

The structure in POSCAR format:
```
KLi2Cr
1.0
7.6501 0.0000 0.0000
0.0000 7.6501 0.0000
0.0000 0.0000 7.6501
K Li Cr
4 8 4
Cartesian
0.0000 0.0000 0.0000
0.0000 3.8250 3.8250
3.8250 0.0000 3.8250
3.8250 3.8250 0.0000
1.9125 1.9125 1.9125
1.9125 1.9125 5.7376
1.9125 5.7376 1.9125
1.9125 5.7376 5.7376
5.7376 1.9125 1.9125
5.7376 1.9125 5.7376
5.7376 5.7376 1.9125
5.7376 5.7376 5.7376
0.0000 0.0000 3.8250
0.0000 3.8250 0.0000
3.8250 0.0000 0.0000
3.8250 3.8250 3.8250
```

y.
VASP calculation (GGA-PBE) on a relaxed structure of KLi2Cr.

The structure in POSCAR format:
```
KLi2Cr
1.0
9.7286 0.0000 0.0000
0.0000 3.2510 0.0000
-0.6836 0.0000 7.1205
K Li Cr
2 4 2
Cartesian
0.0000 0.0000 0.0000
4.8643 1.6255 0.0000
1.8376 0.0000 4.6990
2.3431 1.6255 2.4216
6.7019 1.6255 4.6990
7.2074 0.0000 2.4216
-0.3418 1.6255 3.5603
4.5225 0.0000 3.5603
```

Unit: eV/atom. Relative energies: w 0.010; x 0.073; y 0.000.

w.
VASP calculation (GGA-PBE) on a relaxed structure of K2LiCr.

The structure in POSCAR format:
```
K2LiCr
1.0
13.8313 0.0000 0.0000
0.0000 3.5663 0.0000
-2.0792 0.0000 6.2664
K Li Cr
4 2 2
Cartesian
0.0000 0.0000 0.0000
1.4406 0.0000 3.9602
6.9157 1.7831 0.0000
8.3563 1.7831 3.9602
3.4710 1.7831 1.2663
10.3867 0.0000 1.2663
5.1003 0.0000 2.8852
12.0159 1.7831 2.8852
```

x.
VASP calculation (GGA-PBE) on a relaxed structure of K2LiCr.

The structure in POSCAR format:
```
K2LiCr
1.0
3.7352 0.0000 0.0000
0.0000 5.4251 0.0000
-0.1923 0.0000 7.7097
K Li Cr
2 1 1
Cartesian
-0.0339 0.0000 1.8512
3.5769 0.0000 5.8585
1.7715 2.7126 3.8548
1.8676 2.7126 0.0000
```

Unit: eV/atom. Relative energies: w 0.000; x 0.083.